# 1
# Mg3Zr2N4 (PBE, optimized geometry)
# Uncorrected formation energy = -1.01 eV per atom
# Total magnetic moment = 0.0 μB per formula unit
data_Mg3Zr2N4
_symmetry_space_group_name_H-M 'C 1 2/m 1'
_symmetry_Int_Tables_number 12
_cell_length_a 10.572
_cell_length_b 3.271
_cell_length_c 7.804
_cell_angle_alpha 90.00
_cell_angle_beta 119.16
_cell_angle_gamma 90.00
loop_
_symmetry_equiv_pos_as_xyz
'x,y,z'
'-x,-y,-z'
'-x,y,-z'
'x,-y,z'
'x+1/2,y+1/2,z'
'-x+1/2,-y+1/2,-z'
'-x+1/2,y+1/2,-z'
'x+1/2,-y+1/2,z'
loop_
_atom_site_label
_atom_site_fract_x
_atom_site_fract_y
_atom_site_fract_z
Mg1 0.000 0.000 0.000
Mg2 0.207 0.000 0.824
Zr1 0.097 0.500 0.373
N1 0.097 0.500 0.889
N2 0.195 0.000 0.307

# 2
# Cd2FeHg2 (PBE, optimized geometry)
# Total magnetic moment = 3.0 μB per formula unit
# Energy of formation from the pure elements = 0.416 eV per atom
data_Cd2FeHg2
_symmetry_space_group_name_H-M 'P 4/m b m'
_symmetry_Int_Tables_number 127
_symmetry_space_group_name_Hall '-P 4 2ab'
_cell_length_a 7.133
_cell_length_b 7.133
_cell_length_c 4.397
_cell_angle_alpha 90.00
_cell_angle_beta 90.00
_cell_angle_gamma 90.00
loop_
_atom_site_label
_atom_site_fract_x
_atom_site_fract_y
_atom_site_fract_z
Cd1 0.162 0.338 0.000
Fe1 0.000 0.000 0.500
Hg1 0.151 0.651 0.500

# 3
# ThGaCu2 (PBE, optimized geometry)
# Total magnetic moment = 0.0 μB per formula unit
# Energy of formation from the pure elements = -0.290 eV per atom
data_ThGaCu2
_symmetry_space_group_name_H-M 'P n m a'
_symmetry_Int_Tables_number 62
_cell_length_a 8.367
_cell_length_b 6.517
_cell_length_c 5.441
_cell_angle_alpha 90.00
_cell_angle_beta 90.00
_cell_angle_gamma 90.00
loop_
_symmetry_equiv_pos_as_xyz
'x,y,z'
'-x,-y,-z'
'-x+1/2,-y,z+1/2'
'x+1/2,y,-z+1/2'
'x+1/2,-y+1/2,-z+1/2'
'-x+1/2,y+1/2,z+1/2'
'-x,y+1/2,-z'
'x,-y+1/2,z'
loop_
_atom_site_label
_atom_site_fract_x
_atom_site_fract_y
_atom_site_fract_z
Th1 0.066 0.250 0.152
Ga1 0.105 0.750 0.349
Cu1 0.177 0.054 0.632